DFT (GGA-PBEsol) results for a geometry-optimized FeSbSe2N structure.

Calculated values
**ρ**: 5.45 g cm⁻³
**Fermi-level density of states**: 4.85 states/eV/cell
**Energy**: -24.0 eV per cell
**Total magnetization**: 4.33 μB/cell
**Raw formation energy**: 1.155 eV per atom

Lattice parameters (Å, degrees): 5.2518 5.2518 3.8645 90.00 90.00 90.00
Atoms (fractional coordinates):
Fe: 0.0000 0.0000 0.0000
Sb: 0.5000 0.5000 0.5000
Se: 0.0000 0.5000 0.5000
Se: 0.5000 0.0000 0.5000
N: 0.5000 0.5000 0.0000